[1]
First-principles (PBE+U) data for a relaxed structure of ScTl2W3O12, as listed in Alexandria.

Cell and atoms, written as POSCAR:
```
ScTl2W3O12
1.0
7.498 0.055 0.039
3.750 6.492 0.039
3.750 2.183 6.114
Sc Tl W O
1 2 3 12
direct
0.000 0.000 0.000 Sc
0.656 0.656 0.656 Tl
0.344 0.344 0.344 Tl
0.500 0.000 0.000 W
0.000 0.500 0.000 W
0.000 0.000 0.500 W
0.306 0.306 0.939 O
0.931 0.931 0.335 O
0.335 0.931 0.931 O
0.939 0.306 0.306 O
0.931 0.335 0.931 O
0.306 0.939 0.306 O
0.694 0.694 0.061 O
0.069 0.069 0.665 O
0.665 0.069 0.069 O
0.061 0.694 0.694 O
0.069 0.665 0.069 O
0.694 0.061 0.694 O
```

Output
Size of the total moment ... 1.10 Bohr magnetons per cell
Electronic total energy ... -7.0534 eV/atom

***

[2]
First-principles (PBE+U) data for a relaxed structure of Ba2PuV3O12, as listed in Alexandria.

Cell and atoms, written as POSCAR:
```
Ba2PuV3O12
1.0
-2.483 2.993 6.045
2.762 -1.758 6.400
3.992 4.683 3.715
Ba Pu V O
2 1 3 12
direct
0.622 0.622 0.622 Ba
0.378 0.378 0.378 Ba
0.000 0.000 0.000 Pu
0.500 0.000 0.000 V
0.000 0.500 0.000 V
0.000 0.000 0.500 V
0.301 0.301 0.923 O
0.905 0.905 0.363 O
0.363 0.905 0.905 O
0.923 0.301 0.301 O
0.905 0.363 0.905 O
0.301 0.923 0.301 O
0.699 0.699 0.077 O
0.095 0.095 0.637 O
0.637 0.095 0.095 O
0.077 0.699 0.699 O
0.095 0.637 0.095 O
0.699 0.077 0.699 O
```

Output
Size of the total moment ... 3.00 Bohr magnetons per cell
Electronic total energy ... -7.7834 eV/atom